Mg4TlZn | PBE-GGA | optimized geometry

Unit cell a=3.266 b=3.266 c=12.458 alpha=90.00 beta=90.00 gamma=90.00
Atoms (fractional coordinates):
1 Mg 0.000 0.000 0.685
2 Mg 0.500 0.500 0.864
3 Mg 0.500 0.500 0.136
4 Mg 0.000 0.000 0.315
5 Tl 0.500 0.500 0.500
6 Zn 0.000 0.000 0.000

The calculation puts the total moment at 0.00 Bohr magnetons per cell. The energy of formation from the pure elements is -0.03 eV/atom. As for the total energy: -1.7042 eV per atom. The space-group type is P4/mmm, No. 123.